Record 1
A plane-wave DFT calculation with PBE+U was carried out for an optimized crystal structure of MgCr4FeO8.

The structure in POSCAR format:
```
MgCr4FeO8
1.0
-2.056 -5.414 -1.652
3.140 -3.353 -3.895
2.795 -4.988 1.892
Cr O Mg Fe
4 8 1 1
Direct
0.625 0.625 0.625 Cr
0.124 0.625 0.625 Cr
0.625 0.124 0.625 Cr
0.625 0.625 0.124 Cr
0.408 0.864 0.864 O
0.864 0.864 0.408 O
0.387 0.838 0.387 O
0.387 0.387 0.838 O
0.864 0.864 0.864 O
0.864 0.408 0.864 O
0.838 0.387 0.387 O
0.387 0.387 0.387 O
0.000 0.000 0.000 Mg
0.250 0.250 0.250 Fe
```

Values from the calculation:
Symmetry: F-43m (216)


Record 2
A plane-wave DFT calculation with PBE+U was carried out for an optimized crystal structure of MgCrFeO4.

The structure in POSCAR format:
```
MgCrFeO4
1.0
4.948 -2.418 2.281
-2.716 -5.301 -0.247
0.410 3.257 -4.976
Cr Fe O Mg
2 2 8 2
Direct
0.500 0.500 0.000 Cr
0.000 0.500 0.500 Cr
0.500 0.000 0.000 Fe
0.500 0.500 0.500 Fe
0.740 0.257 0.483 O
0.735 0.260 0.025 O
0.260 0.743 0.517 O
0.735 0.710 0.475 O
0.726 0.743 0.983 O
0.274 0.257 0.017 O
0.265 0.740 0.975 O
0.265 0.290 0.525 O
0.130 0.880 0.250 Mg
0.870 0.120 0.750 Mg
```

Values from the calculation:
Symmetry: Imma (74)


Record 3
A plane-wave DFT calculation with PBE+U was carried out for an optimized crystal structure of Mg3Cr8FeO16.

The structure in POSCAR format:
```
Mg3Cr8FeO16
1.0
9.967 -3.005 0.010
9.967 3.005 0.010
9.056 0.000 5.134
O Cr Fe Mg
16 8 1 3
Direct
0.392 0.847 0.392 O
0.880 0.880 0.880 O
0.153 0.608 0.608 O
0.847 0.392 0.392 O
0.608 0.608 0.153 O
0.608 0.153 0.608 O
0.392 0.392 0.847 O
0.107 0.107 0.654 O
0.381 0.381 0.381 O
0.654 0.107 0.107 O
0.892 0.892 0.347 O
0.619 0.619 0.619 O
0.120 0.120 0.120 O
0.107 0.654 0.107 O
0.347 0.892 0.892 O
0.892 0.347 0.892 O
0.750 0.750 0.250 Cr
0.250 0.750 0.750 Cr
0.751 0.250 0.250 Cr
0.000 0.000 0.000 Cr
0.750 0.250 0.750 Cr
0.250 0.751 0.250 Cr
0.500 0.500 0.500 Cr
0.250 0.250 0.751 Cr
0.313 0.313 0.313 Fe
0.188 0.188 0.188 Mg
0.812 0.812 0.812 Mg
0.687 0.687 0.687 Mg
```

Values from the calculation:
Symmetry: R3m (160)


E_tot list, top to bottom, in eV per atom: -7.4764, -6.8446, -7.4674